1.
! RbIn2SnPd, optimized geometry, DFT PBE; values from VASP
&SYSTEM
  ibrav = 0, nat = 5, ntyp = 4
/
ATOMIC_SPECIES
Rb 85.47 Rb.upf
In 114.82 In.upf
Sn 118.71 Sn.upf
Pd 106.42 Pd.upf
CELL_PARAMETERS angstrom
5.3370 0.0000 0.0000
0.0000 5.3370 0.0000
0.0000 0.0000 5.4095
ATOMIC_POSITIONS crystal
Rb 0.0000 0.0000 0.0000
In 0.0000 0.5000 0.5000
In 0.5000 0.0000 0.5000
Sn 0.5000 0.5000 0.0000
Pd 0.5000 0.5000 0.5000
! **Final energy**: -3.24 eV per atom
! **Density of states at the Fermi level**: 3.36 states/eV/cell
! **Volume**: 30.8 A^3/atom
! **Calculated formation energy**: -110 meV per atom
! **Density**: 5.82 g/cm3

---

2.
! RbInSnPd, optimized geometry, DFT PBE; values from VASP
&SYSTEM
  ibrav = 0, nat = 4, ntyp = 4
/
ATOMIC_SPECIES
Rb 85.47 Rb.upf
In 114.82 In.upf
Sn 118.71 Sn.upf
Pd 106.42 Pd.upf
CELL_PARAMETERS angstrom
2.3320 1.3464 6.8477
-2.3320 1.3464 6.8477
0.0000 -2.6928 6.8477
ATOMIC_POSITIONS crystal
Rb 0.0000 0.0000 0.0000
In 0.8000 0.8000 0.8000
Sn 0.5403 0.5403 0.5403
Pd 0.1746 0.1746 0.1746
! **Final energy**: -3.51 eV per atom
! **Density of states at the Fermi level**: 2.79 states/eV/cell
! **Volume**: 32.3 A^3/atom
! **Calculated formation energy**: -283 meV per atom
! **Density**: 5.48 g/cm3

---

3.
! RbSrIn2Pd, optimized geometry, DFT PBE; values from VASP
&SYSTEM
  ibrav = 0, nat = 5, ntyp = 4
/
ATOMIC_SPECIES
Rb 85.47 Rb.upf
Sr 87.62 Sr.upf
In 114.82 In.upf
Pd 106.42 Pd.upf
CELL_PARAMETERS angstrom
5.4052 0.0000 0.0000
0.0000 5.4052 0.0000
0.0000 0.0000 5.7434
ATOMIC_POSITIONS crystal
Rb 0.0000 0.0000 0.0000
Sr 0.5000 0.5000 0.0000
In 0.0000 0.5000 0.5000
In 0.5000 0.0000 0.5000
Pd 0.5000 0.5000 0.5000
! **Final energy**: -2.91 eV per atom
! **Density of states at the Fermi level**: 3.28 states/eV/cell
! **Volume**: 33.6 A^3/atom
! **Calculated formation energy**: -248 meV per atom
! **Density**: 5.04 g/cm3

---

Copy entry 2 word for word.
! RbInSnPd, optimized geometry, DFT PBE; values from VASP
&SYSTEM
  ibrav = 0, nat = 4, ntyp = 4
/
ATOMIC_SPECIES
Rb 85.47 Rb.upf
In 114.82 In.upf
Sn 118.71 Sn.upf
Pd 106.42 Pd.upf
CELL_PARAMETERS angstrom
2.3320 1.3464 6.8477
-2.3320 1.3464 6.8477
0.0000 -2.6928 6.8477
ATOMIC_POSITIONS crystal
Rb 0.0000 0.0000 0.0000
In 0.8000 0.8000 0.8000
Sn 0.5403 0.5403 0.5403
Pd 0.1746 0.1746 0.1746
! **Final energy**: -3.51 eV per atom
! **Density of states at the Fermi level**: 2.79 states/eV/cell
! **Volume**: 32.3 A^3/atom
! **Calculated formation energy**: -283 meV per atom
! **Density**: 5.48 g/cm3

---

What is the density of states at the Fermi level in the third record?
3.28 states/eV/cell

---

Repeat the first record exactly.
! RbIn2SnPd, optimized geometry, DFT PBE; values from VASP
&SYSTEM
  ibrav = 0, nat = 5, ntyp = 4
/
ATOMIC_SPECIES
Rb 85.47 Rb.upf
In 114.82 In.upf
Sn 118.71 Sn.upf
Pd 106.42 Pd.upf
CELL_PARAMETERS angstrom
5.3370 0.0000 0.0000
0.0000 5.3370 0.0000
0.0000 0.0000 5.4095
ATOMIC_POSITIONS crystal
Rb 0.0000 0.0000 0.0000
In 0.0000 0.5000 0.5000
In 0.5000 0.0000 0.5000
Sn 0.5000 0.5000 0.0000
Pd 0.5000 0.5000 0.5000
! **Final energy**: -3.24 eV per atom
! **Density of states at the Fermi level**: 3.36 states/eV/cell
! **Volume**: 30.8 A^3/atom
! **Calculated formation energy**: -110 meV per atom
! **Density**: 5.82 g/cm3

---

Which of these has the highest final energy?
RbSrIn2Pd